[1]
LiPmHoMn after structural relaxation, computed with GGA-PBE.

Unit cell a=5.082 b=5.082 c=5.082 alpha=60.00 beta=60.00 gamma=60.00
Element x y z (fractional)
1 Li 0.000 0.000 0.000
2 Pm 0.750 0.750 0.750
3 Ho 0.250 0.250 0.250
4 Mn 0.500 0.500 0.500

Output
**SG**: F-43m (216)
**Mass density**: 6.7 Mg/m³



[2]
LiHoMnPt after structural relaxation, computed with GGA-PBE.

Unit cell a=4.678 b=4.678 c=4.678 alpha=60.00 beta=60.00 gamma=60.00
Element x y z (fractional)
1 Li 0.000 0.000 0.000
2 Ho 0.750 0.750 0.750
3 Mn 0.250 0.250 0.250
4 Pt 0.500 0.500 0.500

Output
**SG**: F-43m (216)
**Mass density**: 9.7 Mg/m³



Calculated calculated formation energy (eV per atom), listed in the same order as above: 0.139; -0.435
Calculated total DFT energy (no corrections) (eV per atom), listed in the same order as above: -4.96; -5.86